[1]
A relaxed structure of Ta2SiAs. Source: Alexandria, functional GGA-PBEsol.

Unit cell a=3.4865 b=3.8460 c=4.7835 alpha=90.00 beta=90.00 gamma=90.00
Space group Pmmm (No. 47)
One atom of each set of equivalent atoms:
Ta 0.0000 0.0000 0.0000
Ta 0.5000 0.0000 0.5000
Si 0.0000 0.5000 0.5000
As 0.5000 0.5000 0.0000



[2]
A relaxed structure of TaSiAs2. Source: Alexandria, functional GGA-PBEsol.

Unit cell a=3.3993 b=4.5906 c=8.1598 alpha=90.00 beta=90.00 gamma=90.00
Space group Immm (No. 71)
One atom of each set of equivalent atoms:
Ta 0.0000 0.0000 0.0000
Si 0.0000 0.0000 0.5000
As 0.0000 0.5000 0.2156



[3]
A relaxed structure of TaSiAs2. Source: Alexandria, functional GGA-PBEsol.

Unit cell a=2.9915 b=2.9915 c=27.1730 alpha=90.00 beta=90.00 gamma=120.00
Space group R-3m (No. 166, hexagonal axes)
One atom of each set of equivalent atoms:
Ta 0.0000 0.0000 0.0000
Si 0.0000 0.0000 0.5000
As 0.0000 0.0000 0.2572



[4]
A relaxed structure of SiTc2As. Source: Alexandria, functional GGA-PBEsol.

Unit cell a=5.9740 b=5.9740 c=5.9740 alpha=90.00 beta=90.00 gamma=90.00
Space group Fm-3m (No. 225)
One atom of each set of equivalent atoms:
Si 0.0000 0.0000 0.0000
Tc 0.2500 0.2500 0.2500
As 0.0000 0.0000 0.5000



[5]
A relaxed structure of SiTc3As. Source: Alexandria, functional GGA-PBEsol.

Unit cell a=4.3801 b=4.3801 c=4.3801 alpha=90.00 beta=90.00 gamma=90.00
Space group Pm-3m (No. 221)
One atom of each set of equivalent atoms:
Si 0.0000 0.0000 0.0000
Tc 0.0000 0.0000 0.5000
As 0.5000 0.5000 0.5000



[6]
A relaxed structure of SiTeAs3. Source: Alexandria, functional GGA-PBEsol.

Unit cell a=5.1896 b=5.1896 c=5.1896 alpha=90.00 beta=90.00 gamma=90.00
Space group Pm-3m (No. 221)
One atom of each set of equivalent atoms:
Si 0.0000 0.0000 0.0000
Te 0.5000 0.5000 0.5000
As 0.0000 0.5000 0.5000



| no. | ΔE_f (raw) (meV/atom) | DOS(E_F) (states/eV/cell) |
| --- | --- | --- |
| 1 | -145 | 2.26 |
| 2 | -9 | 3.38 |
| 3 | 160 | 6.71 |
| 4 | -308 | 8.08 |
| 5 | 1050 | 4.75 |
| 6 | 1342 | 5.69 |